No. 1
The following is a PBE calculation of crystalline Rb2TlCu2 at its relaxed geometry, from Alexandria via LeMat-Bulk.

Values from the calculation:
energy above the lowest structure with this stoichiometry	280.5	meV/atom
symmetry	I4/mmm
energy relative to the elements	0.5898	eV/atom
total DFT energy (no corrections)	-9.54	eV for the cell shown

Unit cell a=5.239 b=5.239 c=7.772 alpha=70.30 beta=70.30 gamma=90.00
Sites, in units of the cell vectors:
Cu1 0.414 0.414 0.172
Cu2 0.586 0.586 0.828
Tl1 0.000 0.000 0.000
Rb1 0.250 0.750 0.500
Rb2 0.750 0.250 0.500



No. 2
The following is a PBE calculation of crystalline MnTl2Te at its relaxed geometry, from Alexandria via LeMat-Bulk.

Values from the calculation:
energy above the lowest structure with this stoichiometry	28.0	meV/atom
symmetry	Immm
ΔE_f (raw)	106	meV/atom
total DFT energy (no corrections)	-16.62	eV for the cell shown

Unit cell a=8.093 b=8.093 c=8.093 alpha=153.69 beta=150.21 gamma=40.16
Last column: magnetic moment on the atom in μB.
Sites, in units of the cell vectors:
Mn1 0.750 0.250 0.500  3.84
Te1 0.250 0.750 0.500  0.00
Tl1 0.571 0.571 0.000  -0.04
Tl2 0.929 0.929 0.000  -0.04



No. 3
The following is a PBE calculation of crystalline Pm2SiGeAu6 at its relaxed geometry, from Alexandria via LeMat-Bulk.

Values from the calculation:
symmetry	Pmmn
ΔE_f (raw)	-441	meV/atom
total DFT energy (no corrections)	-87.23	eV for the cell shown

Unit cell a=5.725 b=8.946 c=8.661 alpha=90.00 beta=90.00 gamma=90.00
Sites, in units of the cell vectors:
Au1 0.747 0.483 0.500
Au2 0.746 0.989 0.000
Ge1 0.500 0.282 0.000
Au3 0.753 0.517 0.000
Si1 0.500 0.258 0.500
Au4 0.247 0.517 0.000
Au5 0.253 0.483 0.500
Au6 0.254 0.989 0.000
Au7 0.000 0.874 0.254
Pm1 0.000 0.263 0.751
Pm2 0.500 0.737 0.251
Au8 0.500 0.126 0.754
Au9 0.246 0.011 0.500
Au10 0.754 0.011 0.500
Si2 0.000 0.742 0.000
Ge2 0.000 0.718 0.500
Au11 0.500 0.126 0.246
Pm3 0.000 0.263 0.249
Au12 0.000 0.874 0.746
Pm4 0.500 0.737 0.749



No. 4
The following is a PBE calculation of crystalline TiTlI2N at its relaxed geometry, from Alexandria via LeMat-Bulk.

Values from the calculation:
energy above the lowest structure with this stoichiometry	0.0	meV/atom
symmetry	P4/mmm
ΔE_f (raw)	-368	meV/atom
total DFT energy (no corrections)	-23.53	eV for the cell shown

Unit cell a=5.948 b=5.948 c=3.836 alpha=90.00 beta=90.00 gamma=90.00
Sites, in units of the cell vectors:
Ti1 0.000 0.000 0.000
N1 0.000 0.000 0.500
I1 0.500 0.000 0.000
I2 0.000 0.500 0.000
Tl1 0.500 0.500 0.500



No. 5
The following is a PBE calculation of crystalline NbCo2IrPd at its relaxed geometry, from Alexandria via LeMat-Bulk.

Values from the calculation:
symmetry	P4/mmm
energy relative to the elements	1.4221	eV/atom
total DFT energy (no corrections)	-31.22	eV for the cell shown

Unit cell a=4.419 b=4.734 c=4.419 alpha=90.00 beta=90.00 gamma=90.00
Last column: magnetic moment on the atom in μB.
Sites, in units of the cell vectors:
Co1 0.500 0.000 0.000  0.87
Ir1 0.000 0.500 0.000  0.12
Co2 0.000 0.000 0.500  0.72
Nb1 0.000 0.000 0.000  -0.24
Pd1 0.500 0.500 0.500  0.12



No. 6
The following is a PBE calculation of crystalline Ce2Zn5Ni3 at its relaxed geometry, from Alexandria via LeMat-Bulk.

Values from the calculation:
symmetry	Ibam
energy relative to the elements	-0.2784	eV/atom
total DFT energy (no corrections)	-76.73	eV for the cell shown

Unit cell a=5.458 b=8.485 c=8.485 alpha=72.62 beta=71.24 gamma=71.24
Last column: magnetic moment on the atom in μB.
Sites, in units of the cell vectors:
Ni1 0.750 0.000 0.000  -0.03
Ni2 0.893 0.770 0.444  -0.03
Ni3 0.393 0.444 0.770  -0.03
Zn1 0.640 0.760 0.960  0.00
Zn2 0.360 0.240 0.040  0.00
Zn3 0.250 0.500 0.500  0.00
Zn4 0.460 0.290 0.290  0.01
Zn5 0.860 0.040 0.240  0.00
Ni4 0.607 0.556 0.230  -0.03
Ni5 0.107 0.230 0.556  -0.03
Ni6 0.250 0.000 0.000  -0.03
Zn6 0.040 0.710 0.710  0.01
Ce1 0.882 0.347 0.888  0.44
Zn7 0.540 0.710 0.710  0.01
Ce2 0.382 0.888 0.347  0.44
Ce3 0.618 0.112 0.653  0.44
Zn8 0.960 0.290 0.290  0.01
Ce4 0.118 0.653 0.112  0.44
Zn9 0.750 0.500 0.500  0.00
Zn10 0.140 0.960 0.760  0.00